[1]
Entry from OQMD via LeMat-Bulk: a relaxed structure of Co15Te (PBE).

electronic total energy	-216.8	eV/cell
volume	253.5	Å³/f.u.
distance to the lowest polymorph of the same formula	13.9	meV per atom

a = 3.519 Å, b = 3.519 Å, c = 40.935 Å
α = 90.00°, β = 90.00°, γ = 90.00°
Space group Pmm2 (No. 25)
Symmetry-distinct sites (fractional):
Co  0.000  0.000  0.000 (multiplicity 1)
Co  0.000  0.000  0.084 (multiplicity 1)
Co  0.000  0.000  0.169 (multiplicity 1)
Co  0.000  0.000  0.253 (multiplicity 1)
Co  0.000  0.000  0.338 (multiplicity 1)
Co  0.000  0.000  0.422 (multiplicity 1)
Co  0.000  0.000  0.507 (multiplicity 1)
Co  0.000  0.000  0.592 (multiplicity 1)
Co  0.000  0.500  0.041 (multiplicity 1)
Co  0.000  0.500  0.126 (multiplicity 1)
Co  0.000  0.500  0.211 (multiplicity 1)
Co  0.000  0.500  0.295 (multiplicity 1)
Co  0.000  0.500  0.380 (multiplicity 1)
Co  0.000  0.500  0.465 (multiplicity 1)
Co  0.000  0.500  0.549 (multiplicity 1)
Co  0.000  0.500  0.633 (multiplicity 1)
Co  0.500  0.000  0.041 (multiplicity 1)
Co  0.500  0.000  0.126 (multiplicity 1)
Co  0.500  0.000  0.211 (multiplicity 1)
Co  0.500  0.000  0.296 (multiplicity 1)
Co  0.500  0.000  0.380 (multiplicity 1)
Co  0.500  0.000  0.465 (multiplicity 1)
Co  0.500  0.000  0.551 (multiplicity 1)
Co  0.500  0.500  0.083 (multiplicity 1)
Co  0.500  0.500  0.168 (multiplicity 1)
Co  0.500  0.500  0.253 (multiplicity 1)
Co  0.500  0.500  0.338 (multiplicity 1)
Co  0.500  0.500  0.422 (multiplicity 1)
Co  0.500  0.500  0.507 (multiplicity 1)
Co  0.500  0.500  0.592 (multiplicity 1)
Te  0.500  0.000  0.650 (multiplicity 1)
Te  0.500  0.500  0.984 (multiplicity 1)

***

[2]
Entry from OQMD via LeMat-Bulk: a relaxed structure of CoTe2 (PBE).

electronic total energy	-55.6	eV/cell
volume	62.6	Å³/f.u.

a = 6.302 Å, b = 6.302 Å, c = 6.302 Å
α = 90.00°, β = 90.00°, γ = 90.00°
Space group Pa-3 (No. 205)
Symmetry-distinct sites (fractional):
Co  0.000  0.000  0.000 (multiplicity 4)
Te  0.136  0.636  0.864 (multiplicity 8)

***

[3]
Entry from OQMD via LeMat-Bulk: a relaxed structure of Co15Te (PBE).

electronic total energy	-214.9	eV/cell
volume	257.6	Å³/f.u.
distance to the lowest polymorph of the same formula	72.8	meV per atom

a = 4.931 Å, b = 2.595 Å, c = 40.274 Å
α = 90.00°, β = 90.00°, γ = 90.00°
Space group Pm (No. 6)
Symmetry-distinct sites (fractional):
Co  0.000  0.000  0.000 (multiplicity 1)
Co  0.000  0.000  0.080 (multiplicity 1)
Co  0.000  0.000  0.166 (multiplicity 1)
Co  0.000  0.000  0.250 (multiplicity 1)
Co  0.000  0.000  0.335 (multiplicity 1)
Co  0.000  0.000  0.504 (multiplicity 1)
Co  0.005  0.000  0.589 (multiplicity 1)
Co  0.249  0.500  0.208 (multiplicity 1)
Co  0.250  0.500  0.124 (multiplicity 1)
Co  0.250  0.500  0.293 (multiplicity 1)
Co  0.250  0.500  0.378 (multiplicity 1)
Co  0.250  0.500  0.462 (multiplicity 1)
Co  0.250  0.500  0.545 (multiplicity 1)
Co  0.258  0.500  0.040 (multiplicity 1)
Co  0.495  0.000  0.589 (multiplicity 1)
Co  0.500  0.000  0.082 (multiplicity 1)
Co  0.500  0.000  0.166 (multiplicity 1)
Co  0.500  0.000  0.250 (multiplicity 1)
Co  0.500  0.000  0.335 (multiplicity 1)
Co  0.500  0.000  0.504 (multiplicity 1)
Co  0.501  0.000  0.420 (multiplicity 1)
Co  0.742  0.500  0.040 (multiplicity 1)
Co  0.750  0.500  0.124 (multiplicity 1)
Co  0.750  0.500  0.293 (multiplicity 1)
Co  0.750  0.500  0.378 (multiplicity 1)
Co  0.750  0.500  0.462 (multiplicity 1)
Co  0.750  0.500  0.548 (multiplicity 1)
Co  0.750  0.500  0.628 (multiplicity 1)
Co  0.751  0.500  0.208 (multiplicity 1)
Co  0.999  0.000  0.420 (multiplicity 1)
Te  0.250  0.500  0.649 (multiplicity 1)
Te  0.500  0.000  0.979 (multiplicity 1)

***

[4]
Entry from OQMD via LeMat-Bulk: a relaxed structure of CoTe (PBE).

electronic total energy	-9.4	eV/cell
volume	34.2	Å³/f.u.

a = 3.245 Å, b = 3.245 Å, c = 3.245 Å
α = 90.00°, β = 90.00°, γ = 90.00°
Space group Pm-3m (No. 221)
Symmetry-distinct sites (fractional):
Co  0.000  0.000  0.000 (multiplicity 1)
Te  0.500  0.500  0.500 (multiplicity 1)

***

The evaluated magnetization for the records listed, in turn: 38.435, 0.062, 48.778, 0.032 μB per cell.